# BaP2Au

A relaxed BaP2Au crystal (PBE, Alexandria).

Computed properties:
The total DFT energy (no corrections) is -4.217 eV/atom. The space group is Cmmm, No. 65. The distance to the lowest polymorph of the same formula comes out at 140 kJ/mol of formula units. The calculation puts the density of states at the Fermi level at 2.31 states/eV/cell.

Unit cell a=4.314 b=4.314 c=6.971 alpha=90.00 beta=90.00 gamma=121.00
Positions (direct):
Au: 0.500 0.500 0.250
Ba: 0.500 0.500 0.750
P: 0.000 0.000 0.075
P: 0.000 0.000 0.425